[1]
A plane-wave DFT calculation with PBE was carried out for a geometry-optimized Ca2CoPd2 structure.

The structure in POSCAR format:
```
Ca2CoPd2
1.0
-4.681 -2.569 -1.675
1.046 -4.210 3.536
-3.753 -1.615 3.616
Pd Co Ca
2 1 2
direct
0.673 0.673 0.654 Pd
0.327 0.327 0.346 Pd
0.000 0.000 0.000 Co
0.750 0.250 0.500 Ca
0.250 0.750 0.500 Ca
```

## Properties
Its total energy is -4.33 eV per atom. The formation energy comes out at -29.6 meV per atom.


[2]
A plane-wave DFT calculation with PBE was carried out for a geometry-optimized CaCo2Pd2 structure.

The structure in POSCAR format:
```
CaCo2Pd2
1.0
-2.886 1.023 2.072
-1.228 -3.486 0.010
1.266 -2.388 6.240
Pd Ca Co
2 1 2
direct
0.609 0.609 0.782 Pd
0.391 0.391 0.218 Pd
0.000 0.000 0.000 Ca
0.250 0.750 0.500 Co
0.750 0.250 0.500 Co
```

## Properties
Its total energy is -5.31 eV per atom. The formation energy comes out at 7.4 meV per atom.


[3]
A plane-wave DFT calculation with PBE was carried out for a geometry-optimized CaCoPd2 structure.

The structure in POSCAR format:
```
CaCoPd2
1.0
0.000 3.246 3.246
3.246 0.000 3.246
3.246 3.246 0.000
Pd Ca Co
2 1 1
direct
0.250 0.250 0.250 Pd
0.750 0.750 0.750 Pd
0.000 0.000 0.000 Ca
0.500 0.500 0.500 Co
```

## Properties
Its total energy is -4.96 eV per atom. The formation energy comes out at -88.2 meV per atom.


[4]
A plane-wave DFT calculation with PBE was carried out for a geometry-optimized Ca2CoPd2 structure.

The structure in POSCAR format:
```
Ca2CoPd2
1.0
6.816 0.000 0.000
0.000 6.816 0.000
0.000 0.000 4.420
Ca Pd Co
4 4 2
direct
0.326 0.174 0.500 Ca
0.174 0.674 0.500 Ca
0.826 0.326 0.500 Ca
0.674 0.826 0.500 Ca
0.641 0.141 0.000 Pd
0.859 0.641 0.000 Pd
0.141 0.359 0.000 Pd
0.359 0.859 0.000 Pd
0.000 0.000 0.000 Co
0.500 0.500 0.000 Co
```

## Properties
Its total energy is -4.58 eV per atom. The formation energy comes out at -283.3 meV per atom.


[5]
A plane-wave DFT calculation with PBE was carried out for a geometry-optimized CaCoPd2 structure.

The structure in POSCAR format:
```
CaCoPd2
1.0
4.141 0.000 0.000
0.000 4.141 0.000
2.070 2.070 8.868
Ca Pd Co
2 4 2
direct
0.500 0.500 0.000 Ca
0.250 0.750 0.500 Ca
0.669 0.125 0.250 Pd
0.375 0.331 0.750 Pd
0.875 0.919 0.750 Pd
0.081 0.625 0.250 Pd
0.750 0.250 0.500 Co
0.000 0.000 0.000 Co
```

## Properties
Its total energy is -4.72 eV per atom. The formation energy comes out at 157.5 meV per atom.


[6]
A plane-wave DFT calculation with PBE was carried out for a geometry-optimized Ca2Co2Pd structure.

The structure in POSCAR format:
```
Ca2Co2Pd
1.0
3.371 0.000 0.000
0.000 3.371 0.000
1.686 1.686 8.685
Ca Pd Co
2 1 2
direct
0.607 0.607 0.787 Ca
0.393 0.393 0.213 Ca
0.000 0.000 0.000 Pd
0.750 0.250 0.500 Co
0.250 0.750 0.500 Co
```

## Properties
Its total energy is -4.74 eV per atom. The formation energy comes out at -53.7 meV per atom.